Cr2InCl (GGA-PBE, relaxed); formation energy without anion corrections = 0.247 eV per atom; DOS(E_F) = 0.458 states/eV per atom; offset from the most stable computed form = 0.1684 eV/atom; E = -5.711 eV per atom
1.0
3.139 0.000 0.000
0.000 4.759 0.000
0.000 0.000 10.980
Cr In Cl
4 2 2
Cartesian
0.000 0.000 0.000
0.000 2.379 3.539
1.570 0.000 9.029
1.570 2.379 5.490
0.000 0.000 5.215
1.570 2.379 10.705
0.000 2.379 7.674
1.570 0.000 2.184